A relaxed NaInWO5 crystal, computed with PBE with a Hubbard U.

a b c (Å): 6.173 6.173 7.448
angles (deg): 102.02 102.02 109.26
Atoms (fractional coordinates):
Na 0.197 0.803 0.750
Na 0.803 0.197 0.250
In 0.500 0.500 0.000
In 0.500 0.500 0.500
W 0.184 0.816 0.250
W 0.816 0.184 0.750
O 0.098 0.258 0.930
O 0.166 0.584 0.369
O 0.258 0.098 0.430
O 0.416 0.834 0.131
O 0.422 0.578 0.750
O 0.578 0.422 0.250
O 0.584 0.166 0.869
O 0.742 0.902 0.570
O 0.834 0.416 0.631
O 0.902 0.742 0.070

Output
E (Ry per atom): -0.461
Fermi-level density of states (states/eV/atom): 0.000
ρ (g cm⁻³): 5.34